DFT (PBE-GGA) results for a relaxed CePrZnPd crystal.

Unit cell a=5.1624 b=5.1624 c=5.1624 alpha=60.00 beta=60.00 gamma=60.00
Each line ends with the local moment (μB).
Positions (direct):
Pr 0.0000 0.0000 0.0000  0.05
Zn 0.2500 0.2500 0.2500  0.00
Pd 0.7500 0.7500 0.7500  -0.02
Ce 0.5000 0.5000 0.5000  0.71

ΔE_f   -0.406 eV/atom
DOS(E_F)   8.39 states/eV/f.u.
M_tot   0.88 Bohr magnetons per cell

***

DFT (PBE-GGA) results for a relaxed Ac2YTe crystal.

Unit cell a=4.0932 b=4.0932 c=9.0104 alpha=90.00 beta=90.00 gamma=90.00
Positions (direct):
Y 0.5000 0.5000 0.5000
Ac 0.0000 0.0000 0.7761
Ac 0.0000 0.0000 0.2239
Te 0.5000 0.5000 0.0000

DOS(E_F)   3.90 states/eV/f.u.
M_tot   0.00 Bohr magnetons per cell
Formation energy without anion corrections   -0.55 eV per atom
Offset from the most stable computed form   0.000 eV per atom

***

DFT (PBE-GGA) results for a relaxed Sm2As4Pd3Rh crystal.

Unit cell a=4.4057 b=4.4057 c=9.8737 alpha=90.00 beta=90.00 gamma=90.00
Positions (direct):
Sm 0.5000 0.0000 0.2489
Sm 0.0000 0.5000 0.7511
As 0.5000 0.5000 0.0000
As 0.0000 0.0000 0.0000
As 0.5000 0.0000 0.6275
As 0.0000 0.5000 0.3725
Pd 0.0000 0.0000 0.5000
Pd 0.5000 0.0000 0.8745
Pd 0.0000 0.5000 0.1255
Rh 0.5000 0.5000 0.5000

ΔE_f   -0.839 eV/atom
DOS(E_F)   4.07 states/eV/f.u.
M_tot   0.00 Bohr magnetons per cell

***

What did the third record say?
DFT (PBE-GGA) results for a relaxed Sm2As4Pd3Rh crystal.

Unit cell a=4.4057 b=4.4057 c=9.8737 alpha=90.00 beta=90.00 gamma=90.00
Positions (direct):
Sm 0.5000 0.0000 0.2489
Sm 0.0000 0.5000 0.7511
As 0.5000 0.5000 0.0000
As 0.0000 0.0000 0.0000
As 0.5000 0.0000 0.6275
As 0.0000 0.5000 0.3725
Pd 0.0000 0.0000 0.5000
Pd 0.5000 0.0000 0.8745
Pd 0.0000 0.5000 0.1255
Rh 0.5000 0.5000 0.5000

ΔE_f   -0.839 eV/atom
DOS(E_F)   4.07 states/eV/f.u.
M_tot   0.00 Bohr magnetons per cell